# 1
A geometry-optimized Ga2HIr structure. Source: Alexandria, functional GGA-PBE.

Calculated values
Total energy   -4.288 eV/atom
ΔE to the lowest computed polymorph   1.28 eV/f.u.

Structure (extended XYZ):
```
4
Lattice="3.9506 -0.0399 1.5380 1.5657 3.4454 1.9112 0.6434 -0.0084 4.1905" Properties=species:S:1:pos:R:3 pbc="T T T"
Ga 1.5399 0.8493 1.9099
Ga 4.6197 2.5478 5.7298
H 0.0000 0.0000 0.0000
Ir 3.0798 1.6985 3.8199
```



# 2
A geometry-optimized GaHIr structure. Source: Alexandria, functional GGA-PBE.

Calculated values
Total energy   -5.262 eV/atom
ΔE to the lowest computed polymorph   0.00 eV/f.u.

Structure (extended XYZ):
```
6
Lattice="3.2138 0.0000 0.9852 1.6836 4.6415 0.2423 0.2700 -0.8974 4.8537" Properties=species:S:1:pos:R:3 pbc="T T T"
Ir 2.9012 0.9286 2.0048
Ga 2.1719 0.2587 4.3838
Ga 2.9955 3.4854 1.6974
Ir 2.2662 2.8154 4.0765
H 3.9883 2.4729 4.1929
H 1.1790 1.2712 1.8883
```



# 3
A geometry-optimized GaHIr3 structure. Source: Alexandria, functional GGA-PBE.

Calculated values
Total energy   -4.527 eV/atom
ΔE to the lowest computed polymorph   10.16 eV/f.u.

Structure (extended XYZ):
```
5
Lattice="4.5723 0.0000 0.0000 0.0000 4.5723 0.0000 0.0000 0.0000 4.5723" Properties=species:S:1:pos:R:3 pbc="T T T"
Ga 0.0000 0.0000 0.0000
Ir 0.0000 2.2861 0.0000
Ir 0.0000 0.0000 2.2861
Ir 2.2861 0.0000 0.0000
H 2.2861 2.2861 2.2861
```



# 4
A geometry-optimized GaHIr2 structure. Source: Alexandria, functional GGA-PBE.

Calculated values
Total energy   -5.652 eV/atom
ΔE to the lowest computed polymorph   1.43 eV/f.u.

Structure (extended XYZ):
```
4
Lattice="-2.4736 1.5954 2.8861 -3.9829 0.6591 -0.8339 -2.8915 -2.3493 1.7645" Properties=species:S:1:pos:R:3 pbc="T T T"
H 0.0000 0.0000 0.0000
Ga -4.6740 -0.0474 1.9084
Ir -7.0110 -0.0712 2.8625
Ir -2.3370 -0.0237 0.9542
```



# 5
A geometry-optimized GaH3Ir structure. Source: Alexandria, functional GGA-PBE.

Calculated values
Total energy   -4.174 eV/atom
ΔE to the lowest computed polymorph   0.00 eV/f.u.

Structure (extended XYZ):
```
5
Lattice="-0.6624 3.4842 -0.5798 -2.4390 -0.8779 -2.4891 -2.5549 -0.0652 2.5265" Properties=species:S:1:pos:R:3 pbc="T T T"
H -1.2774 -0.0326 1.2632
Ir 0.0000 0.0000 0.0000
Ga -2.8281 1.2706 -0.2712
H -0.3312 1.7421 -0.2899
H -1.2195 -0.4389 -1.2445
```



# 6
A geometry-optimized GaHIr structure. Source: Alexandria, functional GGA-PBE.

Calculated values
Total energy   -4.940 eV/atom
ΔE to the lowest computed polymorph   0.96 eV/f.u.

Structure (extended XYZ):
```
3
Lattice="-0.8161 -2.9079 -0.8076 1.1869 -1.0784 2.6837 -3.5933 2.4770 0.7636" Properties=species:S:1:pos:R:3 pbc="T T T"
H -2.3581 -1.6321 2.2081
Ga -2.1935 0.3114 1.0953
Ir -0.8709 -1.8432 1.4655
```



# 7
A geometry-optimized GaHIr structure. Source: Alexandria, functional GGA-PBE.

Calculated values
Total energy   -5.131 eV/atom
ΔE to the lowest computed polymorph   0.39 eV/f.u.

Structure (extended XYZ):
```
3
Lattice="3.0154 0.0000 0.0000 0.0000 3.6166 0.0000 0.0000 -1.8083 3.1321" Properties=species:S:1:pos:R:3 pbc="T T T"
Ir 0.5027 0.0000 0.0000
Ga 2.0104 0.0000 2.0880
H 0.5023 1.8083 1.0440
```



# 8
A geometry-optimized Ga2HIr structure. Source: Alexandria, functional GGA-PBE.

Calculated values
Total energy   -4.221 eV/atom
ΔE to the lowest computed polymorph   1.55 eV/f.u.

Structure (extended XYZ):
```
8
Lattice="4.7207 0.0000 0.0000 0.0000 4.7207 0.0000 2.3604 2.3604 5.4163" Properties=species:S:1:pos:R:3 pbc="T T T"
Ga 3.5405 4.0137 4.0623
Ir 0.0000 0.0000 0.0000
Ir 4.7207 2.3604 2.7082
Ga 1.6533 3.5405 1.3541
H 2.3604 4.7207 2.7082
Ga 5.9009 5.4277 4.0623
H 2.3604 2.3604 0.0000
Ga 3.0674 1.1802 1.3541
```



# 9
A geometry-optimized GaH5Ir structure. Source: Alexandria, functional GGA-PBE.

Calculated values
Total energy   -4.069 eV/atom

Structure (extended XYZ):
```
14
Lattice="4.3402 -0.0160 1.1205 -0.1805 4.3364 1.1205 0.3577 0.3716 6.5888" Properties=species:S:1:pos:R:3 pbc="T T T"
H 0.8650 0.6439 1.3051
H 2.8975 3.6334 3.3279
H 1.5118 3.6838 7.7049
H 3.0056 1.0082 1.1249
Ga 4.2777 2.6625 6.6223
H 1.1846 3.6408 4.4105
H 3.6524 4.0481 7.5247
Ir 2.2587 2.3460 4.4149
H 3.3328 1.0512 4.4193
H 1.6199 1.0587 5.5019
H 1.6480 1.4572 3.1098
Ir 0.0000 0.0000 0.0000
Ga 0.2397 2.0295 2.2074
H 2.8694 3.2348 5.7200
```



# 10
A geometry-optimized Li2GaHIr structure. Source: Alexandria, functional GGA-PBE.

Calculated values
Total energy   -4.142 eV/atom
ΔE to the lowest computed polymorph   0.00 eV/f.u.

Structure (extended XYZ):
```
5
Lattice="3.7502 0.0000 0.0000 0.0000 3.7502 0.0000 0.0000 0.0000 3.9695" Properties=species:S:1:pos:R:3 pbc="T T T"
Ir 0.0000 0.0000 1.9848
Li 1.8751 0.0000 0.0000
Li 0.0000 1.8751 0.0000
H 0.0000 0.0000 0.0000
Ga 1.8751 1.8751 1.9848
```



# 11
A geometry-optimized Li2GaHIr structure. Source: Alexandria, functional GGA-PBE.

Calculated values
Total energy   -4.023 eV/atom
ΔE to the lowest computed polymorph   0.59 eV/f.u.

Structure (extended XYZ):
```
5
Lattice="-2.6014 -1.2704 -2.1759 0.7278 -4.0585 1.4994 -2.4469 0.5281 2.6171" Properties=species:S:1:pos:R:3 pbc="T T T"
Li -1.3007 -0.6352 -1.0880
H 0.0000 0.0000 0.0000
Ir -2.1603 -2.4004 0.9703
Ga 0.3639 -2.0292 0.7497
Li -1.2235 0.2640 1.3085
```



# 12
A geometry-optimized Mg2GaHIr structure. Source: Alexandria, functional GGA-PBE.

Calculated values
Total energy   -3.933 eV/atom

Structure (extended XYZ):
```
5
Lattice="4.4022 0.0000 0.0000 0.0000 4.4022 0.0000 0.0000 0.0000 3.5753" Properties=species:S:1:pos:R:3 pbc="T T T"
Mg 0.0000 2.2011 0.0000
H 0.0000 0.0000 0.0000
Mg 2.2011 0.0000 0.0000
Ga 2.2011 2.2011 1.7877
Ir 0.0000 0.0000 1.7877
```